# MgSc2Bi PBE-GGA relaxed
# **Energy of formation**: -1.2 eV per formula unit
# **M_tot**: 1.30 Bohr magnetons per cell
data_MgSc2Bi
_chemical_formula_sum 'Mg1 Sc2 Bi1'
_cell_length_a 4.5986
_cell_length_b 4.5986
_cell_length_c 4.4789
_cell_angle_alpha 90.00
_cell_angle_beta 90.00
_cell_angle_gamma 90.00
_space_group_name_H-M_alt 'P 1'
_space_group_IT_number 1
loop_
_space_group_symop_operation_xyz
'x,y,z'
loop_
_atom_site_label
_atom_site_type_symbol
_atom_site_fract_x
_atom_site_fract_y
_atom_site_fract_z
Mg1 Mg 0.0000 0.0000 0.0000
Sc1 Sc 0.0000 0.5000 0.5000
Sc2 Sc 0.5000 0.0000 0.5000
Bi1 Bi 0.5000 0.5000 0.0000

# MgSc2Bi PBE-GGA relaxed
# **Energy of formation**: -1.3 eV per formula unit
# **M_tot**: 0.86 Bohr magnetons per cell
data_MgSc2Bi
_chemical_formula_sum 'Mg1 Sc2 Bi1'
_cell_length_a 3.8763
_cell_length_b 3.8763
_cell_length_c 6.3765
_cell_angle_alpha 90.00
_cell_angle_beta 90.00
_cell_angle_gamma 90.00
_space_group_name_H-M_alt 'P 1'
_space_group_IT_number 1
loop_
_space_group_symop_operation_xyz
'x,y,z'
loop_
_atom_site_label
_atom_site_type_symbol
_atom_site_fract_x
_atom_site_fract_y
_atom_site_fract_z
Mg1 Mg 0.0000 0.0000 0.0000
Sc1 Sc 0.5000 0.5000 0.2536
Sc2 Sc 0.5000 0.5000 0.7464
Bi1 Bi 0.0000 0.0000 0.5000

# Mg2ScBi2 PBE-GGA relaxed
# **Energy of formation**: -0.9 eV per formula unit
# **M_tot**: 0.71 Bohr magnetons per cell
data_Mg2ScBi2
_chemical_formula_sum 'Mg4 Sc2 Bi4'
_cell_length_a 8.0702
_cell_length_b 8.0702
_cell_length_c 4.1185
_cell_angle_alpha 90.00
_cell_angle_beta 90.00
_cell_angle_gamma 90.00
_space_group_name_H-M_alt 'P 1'
_space_group_IT_number 1
loop_
_space_group_symop_operation_xyz
'x,y,z'
loop_
_atom_site_label
_atom_site_type_symbol
_atom_site_fract_x
_atom_site_fract_y
_atom_site_fract_z
Mg1 Mg 0.1418 0.3582 0.0000
Mg2 Mg 0.3582 0.8582 0.0000
Mg3 Mg 0.6418 0.1418 0.0000
Mg4 Mg 0.8582 0.6418 0.0000
Sc1 Sc 0.0000 0.0000 0.5000
Sc2 Sc 0.5000 0.5000 0.5000
Bi1 Bi 0.1621 0.6621 0.5000
Bi2 Bi 0.3379 0.1621 0.5000
Bi3 Bi 0.6621 0.8379 0.5000
Bi4 Bi 0.8379 0.3379 0.5000

# MgSc2Bi PBE-GGA relaxed
# **Energy of formation**: 0.1 eV per formula unit
# **M_tot**: 0.44 Bohr magnetons per cell
data_MgSc2Bi
_chemical_formula_sum 'Mg4 Sc8 Bi4'
_cell_length_a 8.1083
_cell_length_b 8.1083
_cell_length_c 6.4260
_cell_angle_alpha 90.00
_cell_angle_beta 90.00
_cell_angle_gamma 90.00
_space_group_name_H-M_alt 'P 1'
_space_group_IT_number 1
loop_
_space_group_symop_operation_xyz
'x,y,z'
loop_
_atom_site_label
_atom_site_type_symbol
_atom_site_fract_x
_atom_site_fract_y
_atom_site_fract_z
Mg1 Mg 0.0000 0.0000 0.0000
Mg2 Mg 0.0000 0.5000 0.2500
Mg3 Mg 0.5000 0.0000 0.7500
Mg4 Mg 0.5000 0.5000 0.5000
Sc1 Sc 0.2418 0.2500 0.6250
Sc2 Sc 0.2500 0.7418 0.8750
Sc3 Sc 0.2500 0.7582 0.3750
Sc4 Sc 0.2582 0.2500 0.1250
Sc5 Sc 0.7418 0.7500 0.1250
Sc6 Sc 0.7500 0.2418 0.3750
Sc7 Sc 0.7500 0.2582 0.8750
Sc8 Sc 0.7582 0.7500 0.6250
Bi1 Bi 0.0000 0.0000 0.5000
Bi2 Bi 0.0000 0.5000 0.7500
Bi3 Bi 0.5000 0.0000 0.2500
Bi4 Bi 0.5000 0.5000 0.0000

# MgScBi2 PBE-GGA relaxed
# **Energy of formation**: -0.8 eV per formula unit
# **M_tot**: 0.00 Bohr magnetons per cell
data_MgScBi2
_chemical_formula_sum 'Mg4 Sc4 Bi8'
_cell_length_a 8.0846
_cell_length_b 8.0846
_cell_length_c 6.9079
_cell_angle_alpha 90.00
_cell_angle_beta 90.00
_cell_angle_gamma 90.00
_space_group_name_H-M_alt 'P 1'
_space_group_IT_number 1
loop_
_space_group_symop_operation_xyz
'x,y,z'
loop_
_atom_site_label
_atom_site_type_symbol
_atom_site_fract_x
_atom_site_fract_y
_atom_site_fract_z
Mg1 Mg 0.0000 0.0000 0.0000
Mg2 Mg 0.0000 0.5000 0.2500
Mg3 Mg 0.5000 0.0000 0.7500
Mg4 Mg 0.5000 0.5000 0.5000
Sc1 Sc 0.0000 0.0000 0.5000
Sc2 Sc 0.0000 0.5000 0.7500
Sc3 Sc 0.5000 0.0000 0.2500
Sc4 Sc 0.5000 0.5000 0.0000
Bi1 Bi 0.2458 0.7500 0.1250
Bi2 Bi 0.2500 0.2458 0.8750
Bi3 Bi 0.2500 0.2542 0.3750
Bi4 Bi 0.2542 0.7500 0.6250
Bi5 Bi 0.7458 0.2500 0.6250
Bi6 Bi 0.7500 0.7458 0.3750
Bi7 Bi 0.7500 0.7542 0.8750
Bi8 Bi 0.7542 0.2500 0.1250

# Mg2Sc2Bi PBE-GGA relaxed
# **Energy of formation**: -0.4 eV per formula unit
# **M_tot**: 0.00 Bohr magnetons per cell
# **Relative energy among the computed polymorphs**: 0.000 eV per atom
data_Mg2Sc2Bi
_chemical_formula_sum 'Mg4 Sc4 Bi2'
_cell_length_a 7.4619
_cell_length_b 7.4619
_cell_length_c 4.4236
_cell_angle_alpha 90.00
_cell_angle_beta 90.00
_cell_angle_gamma 90.00
_space_group_name_H-M_alt 'P 1'
_space_group_IT_number 1
loop_
_space_group_symop_operation_xyz
'x,y,z'
loop_
_atom_site_label
_atom_site_type_symbol
_atom_site_fract_x
_atom_site_fract_y
_atom_site_fract_z
Mg1 Mg 0.1326 0.3674 0.0000
Mg2 Mg 0.3674 0.8674 0.0000
Mg3 Mg 0.6326 0.1326 0.0000
Mg4 Mg 0.8674 0.6326 0.0000
Sc1 Sc 0.1598 0.6598 0.5000
Sc2 Sc 0.3402 0.1598 0.5000
Sc3 Sc 0.6598 0.8402 0.5000
Sc4 Sc 0.8402 0.3402 0.5000
Bi1 Bi 0.0000 0.0000 0.0000
Bi2 Bi 0.5000 0.5000 0.0000

# Mg3ScBi PBE-GGA relaxed
# **Energy of formation**: 2.9 eV per formula unit
# **M_tot**: 0.00 Bohr magnetons per cell
# **Relative energy among the computed polymorphs**: 0.000 eV per atom
data_Mg3ScBi
_chemical_formula_sum 'Mg3 Sc1 Bi1'
_cell_length_a 5.4672
_cell_length_b 5.4672
_cell_length_c 5.4672
_cell_angle_alpha 90.00
_cell_angle_beta 90.00
_cell_angle_gamma 90.00
_space_group_name_H-M_alt 'P 1'
_space_group_IT_number 1
loop_
_space_group_symop_operation_xyz
'x,y,z'
loop_
_atom_site_label
_atom_site_type_symbol
_atom_site_fract_x
_atom_site_fract_y
_atom_site_fract_z
Mg1 Mg 0.0000 0.0000 0.5000
Mg2 Mg 0.0000 0.5000 0.0000
Mg3 Mg 0.5000 0.0000 0.0000
Sc1 Sc 0.5000 0.5000 0.5000
Bi1 Bi 0.0000 0.0000 0.0000

# MgSc2Bi PBE-GGA relaxed
# **Energy of formation**: -0.3 eV per formula unit
# **M_tot**: 0.00 Bohr magnetons per cell
data_MgSc2Bi
_chemical_formula_sum 'Mg3 Sc6 Bi3'
_cell_length_a 3.9424
_cell_length_b 3.9424
_cell_length_c 24.5905
_cell_angle_alpha 90.00
_cell_angle_beta 90.00
_cell_angle_gamma 120.00
_space_group_name_H-M_alt 'P 1'
_space_group_IT_number 1
loop_
_space_group_symop_operation_xyz
'x,y,z'
loop_
_atom_site_label
_atom_site_type_symbol
_atom_site_fract_x
_atom_site_fract_y
_atom_site_fract_z
Mg1 Mg 0.0000 0.0000 0.0000
Mg2 Mg 0.3333 0.6667 0.6667
Mg3 Mg 0.6667 0.3333 0.3333
Sc1 Sc 0.0000 0.0000 0.2416
Sc2 Sc 0.0000 0.0000 0.7584
Sc3 Sc 0.3333 0.6667 0.4251
Sc4 Sc 0.3333 0.6667 0.9083
Sc5 Sc 0.6667 0.3333 0.0917
Sc6 Sc 0.6667 0.3333 0.5749
Bi1 Bi 0.0000 0.0000 0.5000
Bi2 Bi 0.3333 0.6667 0.1667
Bi3 Bi 0.6667 0.3333 0.8333

Number 1: DOS at the Fermi energy 3.0 states/eV/f.u., mass density 5.666 Mg/m³. Number 2: DOS at the Fermi energy 1.9 states/eV/f.u., mass density 5.601 Mg/m³. Number 3: DOS at the Fermi energy 3.8 states/eV/f.u., mass density 6.333 Mg/m³. Number 4: DOS at the Fermi energy 4.3 states/eV/f.u., mass density 5.081 Mg/m³. Number 5: DOS at the Fermi energy 2.3 states/eV/f.u., mass density 7.168 Mg/m³. Number 6: DOS at the Fermi energy 3.8 states/eV/f.u., mass density 4.686 Mg/m³. Number 7: DOS at the Fermi energy 4.5 states/eV/f.u., mass density 3.321 Mg/m³. Number 8: DOS at the Fermi energy 3.6 states/eV/f.u., mass density 4.864 Mg/m³.